# 1
Below is CsTlBi after structural relaxation, with properties calculated at the PBE level.

Crystal system: cubic
Space group: F-43m
Fermi-level density of states (states/eV/cell): 1.64
Formation energy (meV/atom): -75
Calculated total energy (eV per cell): -7.33
Size of the total moment (Bohr magnetons per cell): 0.00

abc: 5.7794 5.7794 5.7794
angles: 60.00 60.00 60.00
With the nearest neighbours (Å) after each atom.
Fractional coordinates of all 3 atoms:
Tl 0.2500 0.2500 0.2500  4 Bi 3.54, 4 Cs 3.54
Cs 0.0000 0.0000 0.0000  4 Tl 3.54
Bi 0.5000 0.5000 0.5000  4 Tl 3.54

---

# 2
Below is Cs12Tl5Bi3 after structural relaxation, with properties calculated at the PBE level.

Crystal system: cubic
Space group: Ia-3d
Fermi-level density of states (states/eV/cell): 109.14
Formation energy (meV/atom): 103
Calculated total energy (eV per cell): -126.66
Size of the total moment (Bohr magnetons per cell): 0.70

abc: 19.6179 19.6179 19.6179
angles: 109.47 109.47 109.47
With the nearest neighbours (Å) after each atom.
Fractional coordinates of all 80 atoms:
Cs 0.1348 0.4002 0.0701  2 Tl 3.78-3.94, 1 Bi 3.87, 1 Cs 4.17
Cs 0.7654 0.4353 0.3652  2 Tl 3.78-3.94, 1 Bi 3.87, 1 Cs 4.17
Cs 0.1348 0.7346 0.5647  2 Tl 3.78-3.94, 1 Bi 3.87, 1 Cs 4.17
Cs 0.2346 0.6699 0.0998  2 Tl 3.78-3.94, 1 Bi 3.87, 1 Cs 4.17
Cs 0.3301 0.5647 0.4299  2 Tl 3.78-3.94, 1 Bi 3.87, 1 Cs 4.17
Cs 0.4002 0.2654 0.3301  2 Tl 3.78-3.94, 1 Bi 3.87, 1 Cs 4.17
Cs 0.2654 0.4002 0.8301  2 Tl 3.78-3.94, 1 Bi 3.87, 1 Cs 4.17
Cs 0.4299 0.0647 0.3301  2 Tl 3.78-3.94, 1 Bi 3.87, 1 Cs 4.17
Cs 0.3301 0.7654 0.4002  2 Tl 3.78-3.94, 1 Bi 3.87, 1 Cs 4.17
Cs 0.8652 0.2654 0.4353  2 Tl 3.78-3.94, 1 Bi 3.87, 1 Cs 4.17
Cs 0.0701 0.9002 0.1348  2 Tl 3.78-3.94, 1 Bi 3.87, 1 Cs 4.17
Cs 0.9002 0.0701 0.6348  2 Tl 3.78-3.94, 1 Bi 3.87, 1 Cs 4.17
Cs 0.5998 0.7346 0.6699  2 Tl 3.78-3.94, 1 Bi 3.87, 1 Cs 4.17
Cs 0.6699 0.2346 0.5998  2 Tl 3.78-3.94, 1 Bi 3.87, 1 Cs 4.17
Cs 0.2346 0.5647 0.6348  2 Tl 3.78-3.94, 1 Bi 3.87, 1 Cs 4.17
Cs 0.9353 0.3652 0.2654  2 Tl 3.78-3.94, 1 Bi 3.87, 1 Cs 4.17
Cs 0.0647 0.6348 0.7346  2 Tl 3.78-3.94, 1 Bi 3.87, 1 Cs 4.17
Cs 0.6699 0.4353 0.5701  2 Tl 3.78-3.94, 1 Bi 3.87, 1 Cs 4.17
Cs 0.7346 0.1348 0.0647  2 Tl 3.78-3.94, 1 Bi 3.87, 1 Cs 4.17
Cs 0.0998 0.9299 0.3652  2 Tl 3.78-3.94, 1 Bi 3.87, 1 Cs 4.17
Cs 0.9299 0.8301 0.5647  2 Tl 3.78-3.94, 1 Bi 3.87, 1 Cs 4.17
Cs 0.3652 0.4299 0.0998  2 Tl 3.78-3.94, 1 Bi 3.87, 1 Cs 4.17
Cs 0.8301 0.9299 0.0647  2 Tl 3.78-3.94, 1 Bi 3.87, 1 Cs 4.17
Cs 0.8301 0.9002 0.2654  2 Tl 3.78-3.94, 1 Bi 3.87, 1 Cs 4.17
Cs 0.6348 0.0647 0.2346  2 Tl 3.78-3.94, 1 Bi 3.87, 1 Cs 4.17
Cs 0.1699 0.0701 0.9353  2 Tl 3.78-3.94, 1 Bi 3.87, 1 Cs 4.17
Cs 0.6348 0.5701 0.9002  2 Tl 3.78-3.94, 1 Bi 3.87, 1 Cs 4.17
Cs 0.7654 0.3301 0.9002  2 Tl 3.78-3.94, 1 Bi 3.87, 1 Cs 4.17
Cs 0.4299 0.3652 0.5998  2 Tl 3.78-3.94, 1 Bi 3.87, 1 Cs 4.17
Cs 0.5998 0.8652 0.4299  2 Tl 3.78-3.94, 1 Bi 3.87, 1 Cs 4.17
Cs 0.7346 0.5998 0.1699  2 Tl 3.78-3.94, 1 Bi 3.87, 1 Cs 4.17
Cs 0.0701 0.1699 0.4353  2 Tl 3.78-3.94, 1 Bi 3.87, 1 Cs 4.17
Cs 0.0647 0.4299 0.8301  2 Tl 3.78-3.94, 1 Bi 3.87, 1 Cs 4.17
Cs 0.3652 0.9353 0.7654  2 Tl 3.78-3.94, 1 Bi 3.87, 1 Cs 4.17
Cs 0.4353 0.6699 0.0701  2 Tl 3.78-3.94, 1 Bi 3.87, 1 Cs 4.17
Cs 0.8652 0.5998 0.9299  2 Tl 3.78-3.94, 1 Bi 3.87, 1 Cs 4.17
Cs 0.5701 0.9353 0.6699  2 Tl 3.78-3.94, 1 Bi 3.87, 1 Cs 4.17
Cs 0.9353 0.5701 0.1699  2 Tl 3.78-3.94, 1 Bi 3.87, 1 Cs 4.17
Cs 0.4002 0.1348 0.5701  2 Tl 3.78-3.94, 1 Bi 3.87, 1 Cs 4.17
Cs 0.0998 0.1699 0.2346  2 Tl 3.78-3.94, 1 Bi 3.87, 1 Cs 4.17
Cs 0.9299 0.0998 0.8652  2 Tl 3.78-3.94, 1 Bi 3.87, 1 Cs 4.17
Cs 0.2654 0.8652 0.9353  2 Tl 3.78-3.94, 1 Bi 3.87, 1 Cs 4.17
Cs 0.5701 0.6348 0.4002  2 Tl 3.78-3.94, 1 Bi 3.87, 1 Cs 4.17
Cs 0.5647 0.3301 0.9299  2 Tl 3.78-3.94, 1 Bi 3.87, 1 Cs 4.17
Cs 0.4353 0.7654 0.8652  2 Tl 3.78-3.94, 1 Bi 3.87, 1 Cs 4.17
Cs 0.1699 0.0998 0.7346  2 Tl 3.78-3.94, 1 Bi 3.87, 1 Cs 4.17
Cs 0.9002 0.8301 0.7654  2 Tl 3.78-3.94, 1 Bi 3.87, 1 Cs 4.17
Cs 0.5647 0.2346 0.1348  2 Tl 3.78-3.94, 1 Bi 3.87, 1 Cs 4.17
Bi 0.8750 0.7500 0.1250  4 Cs 3.87
Bi 0.2500 0.6250 0.8750  4 Cs 3.87
Bi 0.6250 0.3750 0.7500  4 Cs 3.87
Bi 0.7500 0.8750 0.6250  4 Cs 3.87
Bi 0.2500 0.1250 0.3750  4 Cs 3.87
Bi 0.1250 0.8750 0.7500  4 Cs 3.87
Bi 0.1250 0.2500 0.8750  4 Cs 3.87
Bi 0.3750 0.6250 0.2500  4 Cs 3.87
Bi 0.8750 0.1250 0.2500  4 Cs 3.87
Bi 0.6250 0.2500 0.3750  4 Cs 3.87
Bi 0.7500 0.3750 0.1250  4 Cs 3.87
Bi 0.3750 0.7500 0.6250  4 Cs 3.87
Tl 0.1250 0.3750 0.2500  4 Cs 3.78
Tl 0.7500 0.6250 0.3750  4 Cs 3.78
Tl 0.2500 0.3750 0.6250  4 Cs 3.78
Tl 0.2500 0.8750 0.1250  4 Cs 3.78
Tl 0.5000 0.0000 0.5000  6 Cs 3.94
Tl 0.0000 0.5000 0.5000  6 Cs 3.94
Tl 0.8750 0.2500 0.6250  4 Cs 3.78
Tl 0.6250 0.8750 0.2500  4 Cs 3.78
Tl 0.6250 0.7500 0.8750  4 Cs 3.78
Tl 0.1250 0.7500 0.3750  4 Cs 3.78
Tl 0.5000 0.5000 0.5000  6 Cs 3.94
Tl 0.5000 0.5000 0.0000  6 Cs 3.94
Tl 0.5000 0.0000 0.0000  6 Cs 3.94
Tl 0.0000 0.5000 0.0000  6 Cs 3.94
Tl 0.8750 0.6250 0.7500  4 Cs 3.78
Tl 0.3750 0.1250 0.7500  4 Cs 3.78
Tl 0.3750 0.2500 0.1250  4 Cs 3.78
Tl 0.0000 0.0000 0.5000  6 Cs 3.94
Tl 0.0000 0.0000 0.0000  6 Cs 3.94
Tl 0.7500 0.1250 0.8750  4 Cs 3.78

---

# 3
Below is Cs3Tl2Bi3 after structural relaxation, with properties calculated at the PBE level.

Crystal system: orthorhombic
Space group: Cmcm
Fermi-level density of states (states/eV/cell): 3.02
Energy above the lowest structure with this stoichiometry (meV/atom): 0
Formation energy (meV/atom): -282
Calculated total energy (eV per cell): -42.39
Size of the total moment (Bohr magnetons per cell): 0.00

abc: 5.0527 7.7926 20.2592
angles: 90.00 90.00 108.92
With the nearest neighbours (Å) after each atom.
Fractional coordinates of all 16 atoms:
Cs 0.5486 0.0973 0.2500  7 Bi 4.11-4.13, 2 Cs 4.27, 2 Tl 4.44
Cs 0.3707 0.7414 0.9525  3 Tl 3.93-4.04, 4 Bi 4.14-4.25, 2 Cs 4.27
Cs 0.6293 0.2586 0.4525  3 Tl 3.93-4.04, 4 Bi 4.14-4.25, 2 Cs 4.27
Cs 0.6293 0.2586 0.0475  3 Tl 3.93-4.04, 4 Bi 4.14-4.25, 2 Cs 4.27
Cs 0.4514 0.9027 0.7500  7 Bi 4.11-4.13, 2 Cs 4.27, 2 Tl 4.44
Cs 0.3707 0.7414 0.5475  3 Tl 3.93-4.04, 4 Bi 4.14-4.25, 2 Cs 4.27
Bi 0.1715 0.3430 0.7500  2 Bi 3.09, 4 Tl 3.40
Bi 0.8285 0.6570 0.2500  2 Bi 3.09, 4 Tl 3.40
Bi 0.0720 0.1441 0.8843  1 Bi 3.09, 2 Tl 3.32
Bi 0.0720 0.1441 0.6157  1 Bi 3.09, 2 Tl 3.32
Bi 0.9280 0.8559 0.3843  1 Bi 3.09, 2 Tl 3.32
Bi 0.9280 0.8559 0.1157  1 Bi 3.09, 2 Tl 3.32
Tl 0.7136 0.4273 0.8578  4 Bi 3.32-3.40
Tl 0.2864 0.5727 0.1422  4 Bi 3.32-3.40
Tl 0.7136 0.4273 0.6422  4 Bi 3.32-3.40
Tl 0.2864 0.5727 0.3578  4 Bi 3.32-3.40

---

What did the third record say?
Below is Cs3Tl2Bi3 after structural relaxation, with properties calculated at the PBE level.

Crystal system: orthorhombic
Space group: Cmcm
Fermi-level density of states (states/eV/cell): 3.02
Energy above the lowest structure with this stoichiometry (meV/atom): 0
Formation energy (meV/atom): -282
Calculated total energy (eV per cell): -42.39
Size of the total moment (Bohr magnetons per cell): 0.00

abc: 5.0527 7.7926 20.2592
angles: 90.00 90.00 108.92
With the nearest neighbours (Å) after each atom.
Fractional coordinates of all 16 atoms:
Cs 0.5486 0.0973 0.2500  7 Bi 4.11-4.13, 2 Cs 4.27, 2 Tl 4.44
Cs 0.3707 0.7414 0.9525  3 Tl 3.93-4.04, 4 Bi 4.14-4.25, 2 Cs 4.27
Cs 0.6293 0.2586 0.4525  3 Tl 3.93-4.04, 4 Bi 4.14-4.25, 2 Cs 4.27
Cs 0.6293 0.2586 0.0475  3 Tl 3.93-4.04, 4 Bi 4.14-4.25, 2 Cs 4.27
Cs 0.4514 0.9027 0.7500  7 Bi 4.11-4.13, 2 Cs 4.27, 2 Tl 4.44
Cs 0.3707 0.7414 0.5475  3 Tl 3.93-4.04, 4 Bi 4.14-4.25, 2 Cs 4.27
Bi 0.1715 0.3430 0.7500  2 Bi 3.09, 4 Tl 3.40
Bi 0.8285 0.6570 0.2500  2 Bi 3.09, 4 Tl 3.40
Bi 0.0720 0.1441 0.8843  1 Bi 3.09, 2 Tl 3.32
Bi 0.0720 0.1441 0.6157  1 Bi 3.09, 2 Tl 3.32
Bi 0.9280 0.8559 0.3843  1 Bi 3.09, 2 Tl 3.32
Bi 0.9280 0.8559 0.1157  1 Bi 3.09, 2 Tl 3.32
Tl 0.7136 0.4273 0.8578  4 Bi 3.32-3.40
Tl 0.2864 0.5727 0.1422  4 Bi 3.32-3.40
Tl 0.7136 0.4273 0.6422  4 Bi 3.32-3.40
Tl 0.2864 0.5727 0.3578  4 Bi 3.32-3.40